VASP calculation (PBE) on crystalline K4Na2TeO6 at its relaxed geometry.

abc: 10.087 6.744 7.349
angles: 57.31 90.00 90.00
Sites, in units of the cell vectors:
K: 0.514 0.688 0.067
K: 0.677 0.497 0.520
K: 0.014 0.312 0.433
K: 0.323 0.503 0.480
K: 0.823 0.497 0.020
K: 0.986 0.688 0.567
K: 0.177 0.503 0.980
K: 0.486 0.312 0.933
Na: 0.739 0.013 0.206
Na: 0.261 0.987 0.794
Na: 0.239 0.987 0.294
Na: 0.761 0.013 0.706
Te: 0.000 0.000 0.000
Te: 0.500 0.000 0.500
O: 0.847 0.217 0.849
O: 0.875 0.746 0.204
O: 0.625 0.746 0.704
O: 0.011 0.115 0.199
O: 0.489 0.115 0.699
O: 0.653 0.217 0.349
O: 0.989 0.885 0.801
O: 0.375 0.254 0.296
O: 0.153 0.783 0.151
O: 0.347 0.783 0.651
O: 0.511 0.885 0.301
O: 0.125 0.254 0.796

Results
**Total moment**: 0.000 μB per atom
**Calculated density**: 3.36 g/cm³
**Space-group type**: P2_1/c (14)
**Electronic total energy**: -58.48 eV per formula unit


VASP calculation (PBE) on crystalline InNiSe3 at its relaxed geometry.

abc: 4.797 4.797 4.797
angles: 90.00 90.00 90.00
Sites, in units of the cell vectors:
Ni: 0.000 0.000 0.000
Se: 0.000 0.500 0.000
Se: 0.000 0.000 0.500
Se: 0.500 0.000 0.000
In: 0.500 0.500 0.500

Results
**Total moment**: 0.000 μB per atom
**Calculated density**: 6.17 g/cm³
**Space-group type**: Pm-3m (221)
**Electronic total energy**: -18.34 eV per formula unit


VASP calculation (PBE) on crystalline Ac2NpGe3Rh12 at its relaxed geometry.

abc: 8.048 8.048 8.048
angles: 59.31 59.31 59.31
Sites, in units of the cell vectors:
Ac: 0.613 0.613 0.613
Ac: 0.387 0.387 0.387
Np: 0.000 0.000 0.000
Ge: 0.500 0.000 0.000
Ge: 0.000 0.500 0.000
Ge: 0.000 0.000 0.500
Rh: 0.368 0.368 0.885
Rh: 0.875 0.875 0.376
Rh: 0.376 0.875 0.875
Rh: 0.885 0.368 0.368
Rh: 0.875 0.376 0.875
Rh: 0.368 0.885 0.368
Rh: 0.632 0.632 0.115
Rh: 0.125 0.125 0.624
Rh: 0.624 0.125 0.125
Rh: 0.115 0.632 0.632
Rh: 0.125 0.624 0.125
Rh: 0.632 0.115 0.632

Results
**Total moment**: 0.000 μB per atom
**Formation enthalpy at 0 K**: -110.0 meV/atom
**Calculated density**: 9.81 g/cm³
**Space-group type**: R-3m (166)


VASP calculation (PBE) on crystalline MgCuP at its relaxed geometry.

abc: 4.443 4.443 9.343
angles: 90.00 90.00 120.00
Sites, in units of the cell vectors:
P: 0.000 0.000 0.000
P: 0.000 0.000 0.500
Mg: 0.000 0.000 0.250
Mg: 0.000 0.000 0.750
Cu: 0.333 0.667 0.250
Cu: 0.667 0.333 0.750

Results
**Total moment**: 0.100 μB per atom
**Formation enthalpy at 0 K**: 1078.7 meV/atom
**Calculated density**: 2.47 g/cm³
**Space-group type**: P6_3/mmc (194)


VASP calculation (PBE) on crystalline ReAsSe at its relaxed geometry.

abc: 3.188 3.188 7.056
angles: 90.00 90.00 120.00
Sites, in units of the cell vectors:
Re: 0.667 0.333 0.338
As: 0.000 0.000 0.081
Se: 0.333 0.667 0.581

Results
**Total moment**: 0.000 μB per atom
**Calculated density**: 9.09 g/cm³
**Space-group type**: P3m1 (156)
**Electronic total energy**: -20.47 eV per formula unit


VASP calculation (PBE) on crystalline RbCd2Bi2O6 at its relaxed geometry.

abc: 6.323 7.412 7.102
angles: 123.71 95.88 53.02
Sites, in units of the cell vectors:
Rb: 0.500 0.000 0.500
Cd: 0.124 0.727 0.740
Cd: 0.876 0.273 0.260
Bi: 0.820 0.360 0.827
Bi: 0.180 0.640 0.173
O: 0.335 0.771 0.042
O: 0.973 0.439 0.150
O: 0.214 0.840 0.562
O: 0.027 0.561 0.850
O: 0.786 0.160 0.438
O: 0.665 0.229 0.958

Results
**Total moment**: 0.000 μB per atom
**Calculated density**: 6.60 g/cm³
**Space-group type**: P-1 (2)
**Electronic total energy**: -51.55 eV per formula unit


VASP calculation (PBE) on crystalline CaCrCo2 at its relaxed geometry.

abc: 2.880 2.893 7.569
angles: 67.54 90.00 90.00
Sites, in units of the cell vectors:
Cr: 0.500 0.250 0.250
Ca: 0.500 0.750 0.750
Co: 0.000 0.931 0.069
Co: 0.000 0.569 0.431

Results
**Total moment**: 0.133 μB per atom
**Formation enthalpy at 0 K**: 310.3 meV/atom
**Calculated density**: 5.98 g/cm³
**Space-group type**: Pmmm (47)


VASP calculation (PBE) on crystalline KTaTe2 at its relaxed geometry.

abc: 5.356 5.356 5.356
angles: 60.00 60.00 60.00
Sites, in units of the cell vectors:
K: 0.500 0.500 0.500
Ta: 0.750 0.750 0.750
Te: 0.000 0.000 0.000
Te: 0.250 0.250 0.250

Results
**Total moment**: 0.503 μB per atom
**Calculated density**: 7.27 g/cm³
**Space-group type**: F-43m (216)
**Electronic total energy**: -15.82 eV per formula unit


VASP calculation (PBE) on crystalline Tb3Pm7Pr2 at its relaxed geometry.

abc: 3.662 5.836 19.557
angles: 98.58 90.00 90.00
Sites, in units of the cell vectors:
Tb: 0.500 0.500 0.000
Tb: 0.500 0.686 0.371
Tb: 0.500 0.314 0.629
Pm: 0.000 0.410 0.820
Pm: 0.000 0.769 0.538
Pm: 0.000 0.000 0.000
Pm: 0.000 0.590 0.180
Pm: 0.500 0.071 0.143
Pm: 0.500 0.929 0.857
Pm: 0.000 0.231 0.462
Pr: 0.000 0.852 0.704
Pr: 0.000 0.148 0.296

Results
**Total moment**: 0.000 μB per atom
**Formation enthalpy at 0 K**: 109.2 meV/atom
**Calculated density**: 7.13 g/cm³
**Space-group type**: Cmmm (65)


VASP calculation (PBE) on crystalline TbIn5Rh at its relaxed geometry.

abc: 4.668 4.668 7.494
angles: 90.00 90.00 90.00
Sites, in units of the cell vectors:
Tb: 0.000 0.000 0.000
In: 0.500 0.500 0.000
In: 0.500 0.000 0.700
In: 0.000 0.500 0.300
In: 0.500 0.000 0.300
In: 0.000 0.500 0.700
Rh: 0.000 0.000 0.500

Results
**Total moment**: 0.000 μB per atom
**Formation enthalpy at 0 K**: -423.6 meV/atom
**Calculated density**: 8.50 g/cm³
**Space-group type**: P4/mmm (123)


VASP calculation (PBE) on crystalline Mg3Os at its relaxed geometry.

abc: 4.757 2.794 5.254
angles: 90.00 90.00 90.00
Sites, in units of the cell vectors:
Mg: 0.000 0.000 0.967
Mg: 0.000 0.500 0.499
Mg: 0.500 0.500 0.182
Os: 0.500 0.000 0.685

Results
**Total moment**: 0.000 μB per atom
**Formation enthalpy at 0 K**: 178.9 meV/atom
**Calculated density**: 6.26 g/cm³
**Space-group type**: Pmm2 (25)


VASP calculation (PBE) on crystalline Sc2TaH at its relaxed geometry.

abc: 8.419 8.419 8.419
angles: 20.77 20.77 20.77
Sites, in units of the cell vectors:
Sc: 0.885 0.885 0.885
Sc: 0.115 0.115 0.115
H: 0.500 0.500 0.500
Ta: 0.000 0.000 0.000

Results
**Total moment**: 0.000 μB per atom
**Calculated density**: 6.87 g/cm³
**Space-group type**: R-3m (166)
**Electronic total energy**: -27.18 eV per formula unit